1.
First-principles (PBE) data for crystalline VCrH at its relaxed geometry, as listed in the Alexandria database.

Calculated values
Its density of states at the Fermi level is 3.5 states/eV/f.u. The calculation puts the excess energy over the best structure of this formula in the dataset at 127 meV per atom. Its total energy is -21.8 eV/f.u.

Cell: 2.6139 2.6139 4.6372 Å, 90.00 90.00 120.00°
Closest atoms and distances in Å follow each position.
Sites, in units of the cell vectors:
V1 0.0000 0.0000 0.0000  3 H 1.99
Cr1 0.6667 0.3333 0.4816  3 H 1.87
H1 0.3333 0.6667 0.7191  3 Cr 1.87, 3 V 1.99

---

2.
First-principles (PBE) data for crystalline V2CrH4 at its relaxed geometry, as listed in the Alexandria database.

Calculated values
Its density of states at the Fermi level is 3.8 states/eV/f.u. The calculation puts the excess energy over the best structure of this formula in the dataset at 187 meV per atom. Its total energy is -40.2 eV/f.u.

Cell: 5.2111 5.2111 5.2111 Å, 141.73 141.73 55.23°
Closest atoms and distances in Å follow each position.
Sites, in units of the cell vectors:
V1 0.1199 0.1199 0.0000  5 H 1.84-2.04
V2 0.8801 0.8801 0.0000  5 H 1.84-2.04
Cr1 0.5000 0.5000 0.0000  6 H 1.67-1.71
H1 0.0000 0.5000 0.5000  2 Cr 1.71
H2 0.3196 0.3196 0.0000  1 Cr 1.67, 1 V 1.84
H3 0.5000 0.0000 0.5000  2 Cr 1.71
H4 0.6804 0.6804 0.0000  1 Cr 1.67, 1 V 1.84